# 1
Si4TcTe: optimized geometry, GGA-PBEsol.

Summary:
symmetry = F-43m, No. 216

a b c (Å): 5.117 5.117 5.117
angles (deg): 60.00 60.00 60.00
Positions (direct):
Si  0.625  0.625  0.126
Si  0.625  0.625  0.625
Si  0.126  0.625  0.625
Si  0.625  0.126  0.625
Tc  0.250  0.250  0.250
Te  0.000  0.000  0.000

***

# 2
Ti2Si2Tc: optimized geometry, GGA-PBEsol.

Summary:
symmetry = P4/mbm, No. 127

a b c (Å): 3.501 6.358 6.358
angles (deg): 90.00 90.00 90.00
Positions (direct):
Tc  0.000  0.500  0.500
Tc  0.000  0.000  0.000
Si  0.000  0.132  0.368
Si  0.000  0.632  0.132
Si  0.000  0.868  0.632
Si  0.000  0.368  0.868
Ti  0.500  0.669  0.831
Ti  0.500  0.169  0.669
Ti  0.500  0.831  0.331
Ti  0.500  0.331  0.169

***

# 3
Tl2SiTc: optimized geometry, GGA-PBEsol.

Summary:
distance to the lowest polymorph of the same formula = 0.000 eV/atom
symmetry = P4mm, No. 99

a b c (Å): 3.144 3.144 8.383
angles (deg): 90.00 90.00 90.00
Positions (direct):
Si  0.000  0.000  0.574
Tc  0.500  0.500  0.688
Tl  0.500  0.500  0.300
Tl  0.000  0.000  0.938

***

Asked for uncorrected formation energy across the records above, the calculation gives 15.3 -18.6 3.6 kcal/mol of atoms in order.